No. 1
! In2GaAu8 | the Alexandria database | PBE-GGA | relaxed; values from VASP
&SYSTEM
  ibrav = 0, nat = 11, ntyp = 3
/
ATOMIC_SPECIES
In 114.82 In.upf
Ga 69.72 Ga.upf
Au 196.97 Au.upf
ATOMIC_POSITIONS crystal
In 0.826 0.326 0.652
In 0.174 0.674 0.348
Ga 0.500 0.000 0.000
Au 0.362 0.601 0.725
Au 0.638 0.877 0.276
Au 0.815 0.814 0.629
Au 0.000 0.244 0.000
Au 0.185 0.186 0.371
Au 0.362 0.123 0.724
Au 0.638 0.399 0.275
Au 0.000 0.756 0.000
CELL_PARAMETERS angstrom
4.586 0.000 0.000
0.000 6.791 -0.184
-2.293 -3.211 6.893
! * space-group type: Immm
! * ΔE to the lowest computed polymorph: 0.00 kcal/mol of atoms
! * DFT formation energy: -108.0 meV per atom
! * total magnetization: 0.00 μB per atom
! * V: 19.3 Å³ per atom



No. 2
! SrAcBS4 | the Alexandria database | PBE-GGA | relaxed; values from VASP
&SYSTEM
  ibrav = 0, nat = 14, ntyp = 4
/
ATOMIC_SPECIES
Sr 87.62 Sr.upf
Ac 227.00 Ac.upf
B 10.81 B.upf
S 32.06 S.upf
ATOMIC_POSITIONS crystal
Sr 0.726 0.750 0.942
Sr 0.274 0.250 0.058
Ac 0.777 0.750 0.455
Ac 0.223 0.250 0.545
B 0.204 0.750 0.287
B 0.796 0.250 0.713
S 0.984 0.492 0.762
S 0.016 0.992 0.238
S 0.016 0.508 0.238
S 0.984 0.008 0.762
S 0.409 0.750 0.151
S 0.591 0.250 0.849
S 0.338 0.750 0.530
S 0.662 0.250 0.470
CELL_PARAMETERS angstrom
-5.287 -2.396 -2.432
2.706 -0.080 -5.805
4.749 -6.650 2.305
! * uncorrected formation energy: -1.5588 eV/atom
! * space-group type: P2_1/m
! * total magnetization: 0.00 μB per atom
! * V: 23.5 Å³ per atom



No. 3
! NaPuCl4 | the Alexandria database | PBE-GGA | relaxed; values from VASP
&SYSTEM
  ibrav = 0, nat = 12, ntyp = 3
/
ATOMIC_SPECIES
Na 22.99 Na.upf
Pu 244.00 Pu.upf
Cl 35.45 Cl.upf
ATOMIC_POSITIONS crystal
Na 0.322 0.572 0.145
Na 0.678 0.428 0.855
Pu 0.085 0.835 0.670
Pu 0.915 0.165 0.330
Cl 0.982 0.286 0.093
Cl 0.611 0.807 0.093
Cl 0.273 0.496 0.587
Cl 0.727 0.504 0.413
Cl 0.186 0.909 0.413
Cl 0.389 0.193 0.907
Cl 0.814 0.091 0.587
Cl 0.018 0.714 0.907
CELL_PARAMETERS angstrom
7.032 0.294 0.000
-0.746 6.764 0.000
-3.143 -3.529 7.405
! * uncorrected formation energy: -1.8514 eV/atom
! * space-group type: C2/c
! * ΔE to the lowest computed polymorph: 0.07 kcal/mol of atoms
! * total magnetization: 0.83 μB per atom
! * V: 29.5 Å³ per atom



No. 4
! HfSnIr3 | the Alexandria database | PBE-GGA | relaxed; values from VASP
&SYSTEM
  ibrav = 0, nat = 5, ntyp = 3
/
ATOMIC_SPECIES
Ir 192.22 Ir.upf
Hf 178.49 Hf.upf
Sn 118.71 Sn.upf
ATOMIC_POSITIONS crystal
Ir 0.000 0.500 0.000
Ir 0.000 0.000 0.500
Ir 0.500 0.000 0.000
Hf 0.000 0.000 0.000
Sn 0.500 0.500 0.500
CELL_PARAMETERS angstrom
-3.858 2.152 2.058
-1.139 -4.179 2.235
2.752 1.288 3.811
! * space-group type: Pm-3m
! * ΔE to the lowest computed polymorph: 0.00 kcal/mol of atoms
! * DFT formation energy: 1216.0 meV per atom
! * total magnetization: 0.00 μB per atom
! * V: 23.2 Å³ per atom